Density functional theory data (GGA-PBE) for a relaxed IrSe2Br crystal.

As for the crystal system: cubic. Its raw total energy is -3.567 eV/atom. The energy above the most stable polymorph in this dataset is 1038 meV per atom. Its formation energy (no corrections) is 312 kJ/mol of formula units. The density of states at the Fermi level is 0.613 states/eV/atom.

The space group is Fm-3m (No. 225) and the conventional cell measures 6.663, 6.663 and 6.663 Å, with angles of 90.00, 90.00 and 90.00 degrees. The distinct sites, in fractional coordinates, are Ir at (0.000, 0.000, 0.000), Se at (0.250, 0.250, 0.250) and Br at (0.000, 0.000, 0.500).